1.
FeCo5: PBEsol geometry, meta-GGA SCAN.

Results
- Magnetic moment: 11.6 μB/f.u.
- Mass density: 9.25 g/cm³
- Density of states at the Fermi level: 0.60 states/eV/atom
- Calculated total energy: -17.44 eV per atom

a = 2.4500 Å, b = 2.4500 Å, c = 10.4814 Å
α = 90.00°, β = 90.00°, γ = 90.00°
Space group P4/mmm (No. 123)
Symmetry-distinct sites (fractional):
Fe: 0.0000 0.0000 0.0000 (multiplicity 1)
Co: 0.0000 0.0000 0.3343 (multiplicity 2)
Co: 0.5000 0.5000 0.1726 (multiplicity 2)
Co: 0.5000 0.5000 0.5000 (multiplicity 1)



2.
Ti2RePF: PBEsol geometry, meta-GGA SCAN.

Results
- E_form (uncorrected): -0.0935 eV/atom
- Magnetic moment: 0.3 μB/f.u.
- Mass density: 8.30 g/cm³
- Density of states at the Fermi level: 0.44 states/eV/atom

a = 3.9751 Å, b = 3.9751 Å, c = 4.2036 Å
α = 90.00°, β = 90.00°, γ = 90.00°
Space group P4/mmm (No. 123)
Symmetry-distinct sites (fractional):
Ti: 0.0000 0.5000 0.0000 (multiplicity 2)
Re: 0.0000 0.0000 0.5000 (multiplicity 1)
P: 0.5000 0.5000 0.5000 (multiplicity 1)
F: 0.0000 0.0000 0.0000 (multiplicity 1)



3.
FeRuRh2: PBEsol geometry, meta-GGA SCAN.

Results
- Magnetic moment: 3.1 μB/f.u.
- Mass density: 11.67 g/cm³
- Density of states at the Fermi level: 0.84 states/eV/atom
- Calculated total energy: -30.16 eV per atom

a = 2.6535 Å, b = 3.6992 Å, c = 5.2580 Å
α = 90.00°, β = 90.00°, γ = 90.00°
Space group Pmmm (No. 47)
Symmetry-distinct sites (fractional):
Fe: 0.0000 0.0000 0.0000 (multiplicity 1)
Ru: 0.0000 0.0000 0.5000 (multiplicity 1)
Rh: 0.5000 0.5000 0.2479 (multiplicity 2)



4.
CuAgO2: PBEsol geometry, meta-GGA SCAN.

Results
- E_form (uncorrected): -0.5035 eV/atom
- Magnetic moment: 0.0 μB/f.u.
- Mass density: 7.23 g/cm³
- Density of states at the Fermi level: 0.21 states/eV/atom

a = 6.1485 Å, b = 2.7972 Å, c = 5.7891 Å
α = 90.00°, β = 110.31°, γ = 90.00°
Space group C2/m (No. 12)
Symmetry-distinct sites (fractional):
Cu: 0.0000 0.0000 0.0000 (multiplicity 2)
Ag: 0.0000 0.5000 0.5000 (multiplicity 2)
O: 0.1393 0.5000 0.2136 (multiplicity 4)



5.
H3RhF: PBEsol geometry, meta-GGA SCAN.

Results
- Magnetic moment: 0.0 μB/f.u.
- Mass density: 6.29 g/cm³
- Density of states at the Fermi level: 0.29 states/eV/atom
- Calculated total energy: -8.70 eV per atom

a = 3.2073 Å, b = 3.2073 Å, c = 3.2073 Å
α = 90.00°, β = 90.00°, γ = 90.00°
Space group Pm-3m (No. 221)
Symmetry-distinct sites (fractional):
H: 0.0000 0.0000 0.5000 (multiplicity 3)
Rh: 0.5000 0.5000 0.5000 (multiplicity 1)
F: 0.0000 0.0000 0.0000 (multiplicity 1)



6.
TiAsN2F: PBEsol geometry, meta-GGA SCAN.

Results
- E_form (uncorrected): 0.0550 eV/atom
- Magnetic moment: 1.4 μB/f.u.
- Mass density: 5.09 g/cm³
- Density of states at the Fermi level: 0.45 states/eV/atom

a = 3.8464 Å, b = 3.8464 Å, c = 3.7448 Å
α = 90.00°, β = 90.00°, γ = 90.00°
Space group P4/mmm (No. 123)
Symmetry-distinct sites (fractional):
Ti: 0.0000 0.0000 0.0000 (multiplicity 1)
As: 0.5000 0.5000 0.5000 (multiplicity 1)
N: 0.0000 0.5000 0.5000 (multiplicity 2)
F: 0.5000 0.5000 0.0000 (multiplicity 1)